Record 1
# PBE Ac2PmThP4, optimized geometry
# Total magnetization ... 0.0 μB per formula unit
# Volume ... 27.82 A^3/atom
# Theoretical density ... 7.13 Mg/m³
# Energy of formation from the pure elements ... -147 kJ/mol of atoms
data_Ac2PmThP4
_cell_length_a 7.393
_cell_length_b 4.277
_cell_length_c 7.458
_cell_angle_alpha 90.00
_cell_angle_beta 109.29
_cell_angle_gamma 90.00
_symmetry_space_group_name_H-M 'P 1 2/m 1'
_symmetry_Int_Tables_number 10
loop_
_symmetry_equiv_pos_as_xyz
'x,y,z'
'-x,-y,-z'
'-x,y,-z'
'x,-y,z'
loop_
_atom_site_label
_atom_site_type_symbol
_atom_site_fract_x
_atom_site_fract_y
_atom_site_fract_z
Ac1 Ac 0.000 0.000 0.000
Ac2 Ac 0.500 0.500 0.000
Pm1 Pm 0.000 0.500 0.500
Th1 Th 0.500 0.000 0.500
P1 P 0.247 0.000 0.732
P2 P 0.258 0.500 0.270

Record 2
# PBE YTm4Au2, optimized geometry
# Total magnetization ... 0.0 μB per formula unit
# Volume ... 29.44 A^3/atom
# Theoretical density ... 9.33 Mg/m³
# Energy of formation from the pure elements ... -28 kJ/mol of atoms
data_YTm4Au2
_cell_length_a 4.8483
_cell_length_b 4.8483
_cell_length_c 30.3745
_cell_angle_alpha 90.00
_cell_angle_beta 90.00
_cell_angle_gamma 120.00
_symmetry_space_group_name_H-M 'R -3 m'
_symmetry_Int_Tables_number 166
_symmetry_space_group_name_Hall '-R 3 2"'
loop_
_atom_site_label
_atom_site_type_symbol
_atom_site_fract_x
_atom_site_fract_y
_atom_site_fract_z
Y1 Y 0.0000 0.0000 0.0000
Tm1 Tm 0.0000 0.0000 0.2005
Tm2 Tm 0.0000 0.0000 0.4004
Au1 Au 0.0000 0.0000 0.1018

Record 3
# PBE Th4Ga12Os, optimized geometry
# Total magnetization ... 0.0 μB per formula unit
# Volume ... 20.23 A^3/atom
# Theoretical density ... 9.44 Mg/m³
# Energy of formation from the pure elements ... -49 kJ/mol of atoms
data_Th4Ga12Os
_cell_length_a 8.828
_cell_length_b 8.828
_cell_length_c 8.828
_cell_angle_alpha 90.00
_cell_angle_beta 90.00
_cell_angle_gamma 90.00
_symmetry_space_group_name_H-M 'I m -3 m'
_symmetry_Int_Tables_number 229
_symmetry_space_group_name_Hall '-I 4 2 3'
loop_
_atom_site_label
_atom_site_type_symbol
_atom_site_fract_x
_atom_site_fract_y
_atom_site_fract_z
Th1 Th 0.250 0.250 0.250
Ga1 Ga 0.000 0.000 0.293
Ga2 Ga 0.000 0.250 0.500
Os1 Os 0.000 0.000 0.000